# 1
ErMgTe3Au | GGA-PBE | optimized geometry

abc: 12.345 4.120 13.428
angles: 90.00 90.00 90.00
Fractional coordinates of all 24 atoms:
Er (0.317, 0.500, 0.937)
Er (0.817, 0.000, 0.563)
Er (0.183, 0.500, 0.437)
Er (0.683, 0.000, 0.063)
Te (0.134, 0.000, 0.951)
Te (0.078, 0.000, 0.580)
Te (0.922, 0.500, 0.420)
Te (0.578, 0.500, 0.920)
Te (0.866, 0.500, 0.049)
Te (0.422, 0.000, 0.080)
Te (0.634, 0.500, 0.549)
Te (0.356, 0.500, 0.716)
Te (0.644, 0.000, 0.284)
Te (0.144, 0.500, 0.216)
Te (0.856, 0.000, 0.784)
Te (0.366, 0.000, 0.451)
Mg (0.530, 0.000, 0.711)
Mg (0.470, 0.500, 0.289)
Mg (0.030, 0.500, 0.789)
Mg (0.970, 0.000, 0.211)
Au (0.314, 0.000, 0.255)
Au (0.186, 0.000, 0.755)
Au (0.814, 0.500, 0.245)
Au (0.686, 0.500, 0.745)

magnetic moment = 0.00 μB per formula unit

---

# 2
ErMgTe3Au | GGA-PBE | optimized geometry

abc: 4.180 7.840 11.111
angles: 90.00 90.00 74.54
Fractional coordinates of all 12 atoms:
Mg (0.149, 0.702, 0.250)
Mg (0.851, 0.298, 0.750)
Au (0.479, 0.042, 0.750)
Au (0.521, 0.958, 0.250)
Te (0.903, 0.195, 0.250)
Te (0.097, 0.805, 0.750)
Te (0.648, 0.705, 0.442)
Te (0.352, 0.295, 0.942)
Te (0.352, 0.295, 0.558)
Te (0.648, 0.705, 0.058)
Er (0.000, 0.000, 0.000)
Er (0.000, 0.000, 0.500)

magnetic moment = 0.00 μB per formula unit

---

| no. | uncorrected energy (Ry/atom) |
| --- | --- |
| 1 | -0.2855 |
| 2 | -0.2884 |